Here is a relaxed structure of RbSO3 from Alexandria. Energies are from PBE.

Calculated values
Formation energy without anion corrections (eV per atom): 1.7945
E (eV per atom): -2.199
Magnetic moment (μB per atom): 0.00

Cell lengths 4.2958, 4.2958, 4.2958 Å; angles 90.00, 90.00, 90.00 degrees
Fractional positions:
Rb1 0.0000 0.0000 0.0000
S1 0.5000 0.5000 0.5000
O1 0.0000 0.0000 0.5000
O2 0.0000 0.5000 0.0000
O3 0.5000 0.0000 0.0000

***

Here is a relaxed structure of Rb2SO4 from Alexandria. Energies are from PBE.

Calculated values
Formation energy without anion corrections (eV per atom): -1.8677
Offset from the most stable computed form (meV per atom): 0
E (eV per atom): -5.567
Magnetic moment (μB per atom): 0.01

Cell lengths 7.9715, 6.0795, 10.6247 Å; angles 90.00, 90.00, 90.00 degrees
Fractional positions:
Rb1 0.0077 0.2500 0.2011
Rb2 0.1747 0.7500 0.4118
Rb3 0.3253 0.2500 0.9118
Rb4 0.4923 0.7500 0.7011
Rb5 0.5077 0.2500 0.2989
Rb6 0.6747 0.7500 0.0882
Rb7 0.8253 0.2500 0.5882
Rb8 0.9923 0.7500 0.7989
S1 0.2356 0.7500 0.0814
S2 0.2644 0.2500 0.5814
S3 0.7356 0.7500 0.4186
S4 0.7644 0.2500 0.9186
O1 0.0484 0.7500 0.0823
O2 0.2000 0.2500 0.4486
O3 0.2011 0.0486 0.6476
O4 0.2011 0.4514 0.6476
O5 0.2989 0.5486 0.1476
O6 0.2989 0.9514 0.1476
O7 0.3000 0.7500 0.9486
O8 0.4516 0.2500 0.5823
O9 0.5484 0.7500 0.4177
O10 0.7000 0.2500 0.0514
O11 0.7011 0.0486 0.8524
O12 0.7011 0.4514 0.8524
O13 0.7989 0.5486 0.3524
O14 0.7989 0.9514 0.3524
O15 0.8000 0.7500 0.5514
O16 0.9516 0.2500 0.9177